No. 1
Computed, not measured: a relaxed structure of KMg14C at the GGA-PBE level of DFT.

Summary:
The space-group type is P-6m2, No. 187. Its formation energy from the elements is 0.37 eV/atom. The value obtained for the uncorrected energy is -26.695 eV for the cell shown. The excess energy over the best structure of this formula in the dataset comes out at 73 meV per atom. Its density of states at the Fermi level is 8.0 states/eV/f.u.

a = 6.489 Å, b = 6.489 Å, c = 10.146 Å
α = 90.00°, β = 90.00°, γ = 120.00°
Sites, in units of the cell vectors:
K: 0.000 0.000 0.000
Mg: 0.012 0.506 0.000
Mg: 0.158 0.315 0.287
Mg: 0.158 0.315 0.713
Mg: 0.158 0.842 0.287
Mg: 0.158 0.842 0.713
Mg: 0.494 0.506 0.000
Mg: 0.494 0.988 0.000
Mg: 0.510 0.021 0.500
Mg: 0.510 0.490 0.500
Mg: 0.667 0.333 0.242
Mg: 0.667 0.333 0.758
Mg: 0.685 0.842 0.287
Mg: 0.685 0.842 0.713
Mg: 0.979 0.490 0.500
C: 0.000 0.000 0.500


No. 2
Computed, not measured: a relaxed structure of Sr2UAuSe6 at the GGA-PBE level of DFT.

Summary:
The space-group type is C2/m, No. 12. The value obtained for the uncorrected energy is -49.885 eV for the cell shown. Its density of states at the Fermi level is 5.5 states/eV/f.u.

a = 7.634 Å, b = 7.634 Å, c = 6.807 Å
α = 111.20°, β = 111.20°, γ = 56.01°
Sites, in units of the cell vectors:
Sr: 0.233 0.233 0.201
Sr: 0.767 0.767 0.799
U: 0.500 0.500 0.000
Au: 0.000 0.000 0.500
Se: 0.160 0.682 0.193
Se: 0.302 0.302 0.690
Se: 0.318 0.840 0.807
Se: 0.682 0.160 0.193
Se: 0.698 0.698 0.310
Se: 0.840 0.318 0.807


No. 3
Computed, not measured: a relaxed structure of MgGaPt2 at the GGA-PBE level of DFT.

Summary:
The space-group type is P4/mmm, No. 123. Its formation energy from the elements is -0.73 eV/atom. The value obtained for the uncorrected energy is -19.626 eV for the cell shown. Its density of states at the Fermi level is 1.8 states/eV/f.u.

a = 2.950 Å, b = 2.950 Å, c = 7.149 Å
α = 90.00°, β = 90.00°, γ = 90.00°
Sites, in units of the cell vectors:
Mg: 0.000 0.000 0.000
Ga: 0.000 0.000 0.500
Pt: 0.500 0.500 0.268
Pt: 0.500 0.500 0.732


No. 4
Computed, not measured: a relaxed structure of FeBrN3 at the GGA-PBE level of DFT.

Summary:
The space-group type is Pm-3m, No. 221. The value obtained for the uncorrected energy is -26.675 eV for the cell shown. Its density of states at the Fermi level is 4.5 states/eV/f.u.

a = 3.726 Å, b = 3.726 Å, c = 3.726 Å
α = 90.00°, β = 90.00°, γ = 90.00°
Sites, in units of the cell vectors:
Fe: 0.000 0.000 0.000
Br: 0.500 0.500 0.500
N: 0.000 0.000 0.500
N: 0.000 0.500 0.000
N: 0.500 0.000 0.000


No. 5
Computed, not measured: a relaxed structure of SrSi4Rh at the GGA-PBE level of DFT.

Summary:
The space-group type is F-43m, No. 216. The value obtained for the uncorrected energy is -29.466 eV for the cell shown. Its density of states at the Fermi level is 4.3 states/eV/f.u.

a = 5.290 Å, b = 5.290 Å, c = 5.290 Å
α = 60.00°, β = 60.00°, γ = 60.00°
Sites, in units of the cell vectors:
Sr: 0.000 0.000 0.000
Si: 0.377 0.377 0.377
Si: 0.377 0.377 0.869
Si: 0.377 0.869 0.377
Si: 0.869 0.377 0.377
Rh: 0.750 0.750 0.750


No. 6
Computed, not measured: a relaxed structure of KHfMo3 at the GGA-PBE level of DFT.

Summary:
The space-group type is Pm-3m, No. 221. Its formation energy from the elements is 2.08 eV/atom. The value obtained for the uncorrected energy is -33.135 eV for the cell shown. The excess energy over the best structure of this formula in the dataset comes out at 0 meV per atom. Its density of states at the Fermi level is 6.1 states/eV/f.u.

a = 4.972 Å, b = 4.972 Å, c = 4.972 Å
α = 90.00°, β = 90.00°, γ = 90.00°
Sites, in units of the cell vectors:
K: 0.000 0.000 0.000
Hf: 0.500 0.500 0.500
Mo: 0.000 0.500 0.500
Mo: 0.500 0.000 0.500
Mo: 0.500 0.500 0.000


No. 7
Computed, not measured: a relaxed structure of Rb2NpGaS4 at the GGA-PBE level of DFT.

Summary:
The space-group type is Pmn2_1, No. 31. The value obtained for the uncorrected energy is -84.922 eV for the cell shown. Its density of states at the Fermi level is 5.0 states/eV/f.u.

a = 8.477 Å, b = 8.249 Å, c = 7.620 Å
α = 90.00°, β = 90.00°, γ = 90.00°
Sites, in units of the cell vectors:
Rb: 0.249 0.250 0.000
Rb: 0.251 0.750 0.500
Rb: 0.749 0.750 0.500
Rb: 0.751 0.250 0.000
Np: 0.000 0.179 0.491
Np: 0.500 0.821 0.991
Ga: 0.000 0.806 0.990
Ga: 0.500 0.194 0.490
S: 0.000 0.977 0.233
S: 0.000 0.993 0.761
S: 0.226 0.654 0.981
S: 0.274 0.346 0.481
S: 0.500 0.007 0.261
S: 0.500 0.023 0.733
S: 0.726 0.346 0.481
S: 0.774 0.654 0.981


No. 8
Computed, not measured: a relaxed structure of LiCaNiH6 at the GGA-PBE level of DFT.

Summary:
The space-group type is P312, No. 149. The value obtained for the uncorrected energy is -32.221 eV for the cell shown. Its density of states at the Fermi level is 1.3 states/eV/f.u.

a = 4.537 Å, b = 4.537 Å, c = 4.391 Å
α = 90.00°, β = 90.00°, γ = 120.00°
Sites, in units of the cell vectors:
Li: 0.000 0.000 0.000
Ca: 0.333 0.667 0.500
Ni: 0.667 0.333 0.000
H: 0.375 0.123 0.770
H: 0.375 0.252 0.230
H: 0.748 0.123 0.230
H: 0.748 0.625 0.770
H: 0.877 0.252 0.770
H: 0.877 0.625 0.230


No. 9
Computed, not measured: a relaxed structure of In2Ga2Pb at the GGA-PBE level of DFT.

Summary:
The space-group type is I4/mmm, No. 139. Its formation energy from the elements is 0.08 eV/atom. The value obtained for the uncorrected energy is -14.858 eV for the cell shown. The excess energy over the best structure of this formula in the dataset comes out at 23 meV per atom. Its density of states at the Fermi level is 2.5 states/eV/f.u.

a = 6.846 Å, b = 6.846 Å, c = 6.846 Å
α = 140.69°, β = 140.69°, γ = 56.81°
Sites, in units of the cell vectors:
In: 0.250 0.750 0.500
In: 0.750 0.250 0.500
Ga: 0.103 0.103 0.000
Ga: 0.897 0.897 0.000
Pb: 0.500 0.500 0.000


No. 10
Computed, not measured: a relaxed structure of GaBi2Au at the GGA-PBE level of DFT.

Summary:
The space-group type is R3m, No. 160. Its formation energy from the elements is 0.05 eV/atom. The value obtained for the uncorrected energy is -13.854 eV for the cell shown. Its density of states at the Fermi level is 2.9 states/eV/f.u.

a = 6.912 Å, b = 6.912 Å, c = 6.912 Å
α = 37.86°, β = 37.86°, γ = 37.86°
Sites, in units of the cell vectors:
Ga: 0.000 0.000 0.000
Bi: 0.245 0.245 0.245
Bi: 0.430 0.430 0.430
Au: 0.837 0.837 0.837


No. 11
Computed, not measured: a relaxed structure of AlSb2Rh at the GGA-PBE level of DFT.

Summary:
The space-group type is Cm, No. 8. The value obtained for the uncorrected energy is -20.458 eV for the cell shown. Its density of states at the Fermi level is 1.7 states/eV/f.u.

a = 4.215 Å, b = 4.215 Å, c = 6.478 Å
α = 108.86°, β = 108.86°, γ = 60.01°
Sites, in units of the cell vectors:
Al: 0.000 0.000 0.000
Sb: 0.242 0.242 0.725
Sb: 0.426 0.426 0.276
Rh: 0.667 0.667 0.001


No. 12
Computed, not measured: a relaxed structure of K8Na6Hg at the GGA-PBE level of DFT.

Summary:
The space-group type is R-3, No. 148. Its formation energy from the elements is 0.01 eV/atom. The value obtained for the uncorrected energy is -16.822 eV for the cell shown. Its density of states at the Fermi level is 9.4 states/eV/f.u.

a = 9.558 Å, b = 9.558 Å, c = 9.558 Å
α = 76.48°, β = 76.48°, γ = 76.48°
Sites, in units of the cell vectors:
K: 0.151 0.657 0.439
K: 0.250 0.250 0.250
K: 0.343 0.561 0.849
K: 0.439 0.151 0.657
K: 0.561 0.849 0.343
K: 0.657 0.439 0.151
K: 0.750 0.750 0.750
K: 0.849 0.343 0.561
Na: 0.040 0.287 0.910
Na: 0.090 0.960 0.713
Na: 0.287 0.910 0.040
Na: 0.713 0.090 0.960
Na: 0.910 0.040 0.287
Na: 0.960 0.713 0.090
Hg: 0.500 0.500 0.500